# PBEsol K3Ba7Ti10O27F3, relaxed
data_K3Ba7Ti10O27F3
_symmetry_space_group_name_H-M 'P 1'
_symmetry_Int_Tables_number 1
_cell_length_a 3.9460
_cell_length_b 3.9460
_cell_length_c 40.2553
_cell_angle_alpha 90.00
_cell_angle_beta 90.00
_cell_angle_gamma 90.00
loop_
_symmetry_equiv_pos_as_xyz
'x,y,z'
loop_
_atom_site_label
_atom_site_type_symbol
_atom_site_fract_x
_atom_site_fract_y
_atom_site_fract_z
_atom_site_occupancy
K1 K 0.0000 0.0000 0.8010 1
K2 K 0.0000 0.0000 0.5997 1
K3 K 0.0000 0.0000 0.8993 1
O1 O 0.0000 0.5000 0.6502 1
O2 O 0.5000 0.0000 0.6502 1
O3 O 0.0000 0.5000 0.0507 1
O4 O 0.5000 0.0000 0.9513 1
O5 O 0.5000 0.0000 0.3498 1
O6 O 0.0000 0.5000 0.3498 1
O7 O 0.5000 0.0000 0.4494 1
O8 O 0.0000 0.5000 0.5488 1
O9 O 0.5000 0.0000 0.8503 1
O10 O 0.5000 0.5000 0.2999 1
O11 O 0.5000 0.0000 0.7492 1
O12 O 0.5000 0.5000 0.4994 1
O13 O 0.0000 0.5000 0.2501 1
O14 O 0.0000 0.5000 0.1504 1
O15 O 0.5000 0.5000 0.2002 1
O16 O 0.0000 0.5000 0.9513 1
O17 O 0.5000 0.0000 0.5488 1
O18 O 0.5000 0.5000 0.3996 1
O19 O 0.5000 0.0000 0.1504 1
O20 O 0.0000 0.5000 0.8503 1
O21 O 0.5000 0.5000 0.0007 1
O22 O 0.5000 0.5000 0.6997 1
O23 O 0.5000 0.0000 0.2501 1
O24 O 0.5000 0.5000 0.1005 1
O25 O 0.0000 0.5000 0.4494 1
O26 O 0.5000 0.0000 0.0507 1
O27 O 0.0000 0.5000 0.7492 1
Ti1 Ti 0.5000 0.5000 0.5474 1
Ti2 Ti 0.5000 0.5000 0.2500 1
Ti3 Ti 0.5000 0.5000 0.0509 1
Ti4 Ti 0.5000 0.5000 0.7479 1
Ti5 Ti 0.5000 0.5000 0.8503 1
Ti6 Ti 0.5000 0.5000 0.9528 1
Ti7 Ti 0.5000 0.5000 0.3497 1
Ti8 Ti 0.5000 0.5000 0.4491 1
Ti9 Ti 0.5000 0.5000 0.6513 1
Ti10 Ti 0.5000 0.5000 0.1504 1
Ba1 Ba 0.0000 0.0000 0.2002 1
Ba2 Ba 0.0000 0.0000 0.2999 1
Ba3 Ba 0.0000 0.0000 0.5004 1
Ba4 Ba 0.0000 0.0000 0.1003 1
Ba5 Ba 0.0000 0.0000 0.3998 1
Ba6 Ba 0.0000 0.0000 0.6998 1
Ba7 Ba 0.0000 0.0000 0.9996 1
F1 F 0.5000 0.5000 0.5995 1
F2 F 0.5000 0.5000 0.8000 1
F3 F 0.5000 0.5000 0.9005 1
# Magnetization (μB/cell): 0.00
# SG: P4mm (99)
# Formation energy without anion corrections (kcal/mol of atoms): -70.237

# PBEsol MnCu2P, relaxed
data_MnCu2P
_symmetry_space_group_name_H-M 'P 1'
_symmetry_Int_Tables_number 1
_cell_length_a 3.2086
_cell_length_b 3.2086
_cell_length_c 4.7871
_cell_angle_alpha 90.00
_cell_angle_beta 90.00
_cell_angle_gamma 89.96
loop_
_symmetry_equiv_pos_as_xyz
'x,y,z'
loop_
_atom_site_label
_atom_site_type_symbol
_atom_site_fract_x
_atom_site_fract_y
_atom_site_fract_z
_atom_site_occupancy
Mn1 Mn 0.5000 0.5000 0.0000 1
Cu1 Cu 0.0000 0.0000 0.7482 1
Cu2 Cu 0.0000 0.0000 0.2518 1
P1 P 0.5000 0.5000 0.5000 1
# Density of states at the Fermi level (states/eV/f.u.): 2.15
# Magnetization (μB/cell): 3.43
# SG: P4/mmm (123)
# DFT formation energy (eV/atom): 0.103

# PBEsol La4Ag, relaxed
data_La4Ag
_symmetry_space_group_name_H-M 'P 1'
_symmetry_Int_Tables_number 1
_cell_length_a 3.7223
_cell_length_b 3.7223
_cell_length_c 11.3478
_cell_angle_alpha 99.44
_cell_angle_beta 99.44
_cell_angle_gamma 90.00
loop_
_symmetry_equiv_pos_as_xyz
'x,y,z'
loop_
_atom_site_label
_atom_site_type_symbol
_atom_site_fract_x
_atom_site_fract_y
_atom_site_fract_z
_atom_site_occupancy
La1 La 0.4159 0.4159 0.8318 1
La2 La 0.8052 0.8052 0.6105 1
La3 La 0.5841 0.5841 0.1682 1
La4 La 0.1948 0.1948 0.3895 1
Ag1 Ag 0.0000 0.0000 0.0000 1
# Density of states at the Fermi level (states/eV/f.u.): 6.69
# Magnetization (μB/cell): 0.00
# SG: I4/mmm (139)
# DFT formation energy (eV/atom): -0.082
# Energy relative to the lowest polymorph listed for this composition (meV per atom): 0

# PBEsol KBaAu2, relaxed
data_KBaAu2
_symmetry_space_group_name_H-M 'P 1'
_symmetry_Int_Tables_number 1
_cell_length_a 3.9693
_cell_length_b 3.9693
_cell_length_c 7.7862
_cell_angle_alpha 90.00
_cell_angle_beta 90.00
_cell_angle_gamma 90.00
loop_
_symmetry_equiv_pos_as_xyz
'x,y,z'
loop_
_atom_site_label
_atom_site_type_symbol
_atom_site_fract_x
_atom_site_fract_y
_atom_site_fract_z
_atom_site_occupancy
Au1 Au 0.0000 0.0000 0.2776 1
Au2 Au 0.0000 0.0000 0.7224 1
Ba1 Ba 0.5000 0.5000 0.5000 1
K1 K 0.5000 0.5000 0.0000 1
# Density of states at the Fermi level (states/eV/f.u.): 2.26
# Magnetization (μB/cell): 0.00
# SG: P4/mmm (123)
# DFT formation energy (eV/atom): -0.392
# Energy relative to the lowest polymorph listed for this composition (meV per atom): 42

# PBEsol Tl2HgPb, relaxed
data_Tl2HgPb
_symmetry_space_group_name_H-M 'P 1'
_symmetry_Int_Tables_number 1
_cell_length_a 3.3141
_cell_length_b 3.3141
_cell_length_c 10.7931
_cell_angle_alpha 90.00
_cell_angle_beta 90.00
_cell_angle_gamma 112.36
loop_
_symmetry_equiv_pos_as_xyz
'x,y,z'
loop_
_atom_site_label
_atom_site_type_symbol
_atom_site_fract_x
_atom_site_fract_y
_atom_site_fract_z
_atom_site_occupancy
Tl1 Tl 0.0000 0.0000 0.9986 1
Tl2 Tl 0.5000 0.5000 0.7390 1
Pb1 Pb 0.5000 0.5000 0.2600 1
Hg1 Hg 0.0000 0.0000 0.5024 1
# Density of states at the Fermi level (states/eV/f.u.): 1.76
# Magnetization (μB/cell): 0.00
# SG: Cmm2 (35)
# DFT formation energy (eV/atom): 0.011

# PBEsol SrCd4Ir, relaxed
data_SrCd4Ir
_symmetry_space_group_name_H-M 'P 1'
_symmetry_Int_Tables_number 1
_cell_length_a 5.6051
_cell_length_b 5.6051
_cell_length_c 5.6051
_cell_angle_alpha 60.00
_cell_angle_beta 60.00
_cell_angle_gamma 60.00
loop_
_symmetry_equiv_pos_as_xyz
'x,y,z'
loop_
_atom_site_label
_atom_site_type_symbol
_atom_site_fract_x
_atom_site_fract_y
_atom_site_fract_z
_atom_site_occupancy
Cd1 Cd 0.8718 0.3761 0.3761 1
Cd2 Cd 0.3761 0.3761 0.3761 1
Cd3 Cd 0.3761 0.3761 0.8718 1
Cd4 Cd 0.3761 0.8718 0.3761 1
Ir1 Ir 0.7500 0.7500 0.7500 1
Sr1 Sr 0.0000 0.0000 0.0000 1
# Density of states at the Fermi level (states/eV/f.u.): 4.84
# Magnetization (μB/cell): 0.00
# SG: F-43m (216)
# DFT formation energy (eV/atom): 0.067